1.
Pu3Cu3NiS8 after structural relaxation. Source: the Alexandria database, functional PBE.

Cell and atoms, written as POSCAR:
```
Pu3Cu3NiS8
1.0
5.989 -3.910 0.000
5.989 3.910 0.000
-4.265 0.000 6.311
Pu Cu Ni S
3 3 1 8
direct
0.000 0.000 0.000
0.000 0.500 0.500
0.500 0.000 0.500
0.000 0.500 0.000
0.500 0.000 0.000
0.500 0.500 0.500
0.500 0.500 0.000
0.251 0.713 0.212
0.265 0.265 0.764
0.267 0.267 0.272
0.287 0.749 0.788
0.713 0.251 0.212
0.733 0.733 0.728
0.735 0.735 0.236
0.749 0.287 0.788
```

Values from the calculation:
Its crystal system is monoclinic. Its uncorrected formation energy is -0.81 eV/atom.


2.
PuCuNiSb after structural relaxation. Source: the Alexandria database, functional PBE.

Cell and atoms, written as POSCAR:
```
PuCuNiSb
1.0
0.000 3.303 3.303
3.303 0.000 3.303
3.303 3.303 0.000
Pu Cu Ni Sb
1 1 1 1
direct
0.000 0.000 0.000
0.250 0.250 0.250
0.750 0.750 0.750
0.500 0.500 0.500
```

Values from the calculation:
Its crystal system is cubic. Its uncorrected formation energy is -0.19 eV/atom.


3.
PuScCuNi after structural relaxation. Source: the Alexandria database, functional PBE.

Cell and atoms, written as POSCAR:
```
PuScCuNi
1.0
0.000 3.325 3.325
3.325 0.000 3.325
3.325 3.325 0.000
Pu Sc Cu Ni
1 1 1 1
direct
0.000 0.000 0.000
0.500 0.500 0.500
0.750 0.750 0.750
0.250 0.250 0.250
```

Values from the calculation:
Its crystal system is cubic. As for the total energy: -30.9 eV for the cell shown.


4.
Pu2CuSi3Ni4 after structural relaxation. Source: the Alexandria database, functional PBE.

Cell and atoms, written as POSCAR:
```
Pu2CuSi3Ni4
1.0
3.954 0.000 0.000
0.000 3.954 0.000
0.000 0.000 9.706
Pu Cu Si Ni
2 1 3 4
direct
0.000 0.500 0.247
0.500 0.000 0.753
0.500 0.500 0.000
0.000 0.000 0.000
0.000 0.500 0.627
0.500 0.000 0.373
0.000 0.000 0.500
0.000 0.500 0.864
0.500 0.000 0.136
0.500 0.500 0.500
```

Values from the calculation:
Its crystal system is tetragonal. Its uncorrected formation energy is -0.51 eV/atom.


5.
Pu2CuSiNi6 after structural relaxation. Source: the Alexandria database, functional PBE.

Cell and atoms, written as POSCAR:
```
Pu2CuSiNi6
1.0
2.972 1.716 10.059
-2.972 1.716 10.059
0.000 -3.432 10.059
Pu Cu Si Ni
4 2 2 12
direct
0.111 0.111 0.111
0.284 0.284 0.284
0.716 0.716 0.716
0.889 0.889 0.889
0.000 0.000 0.000
0.500 0.500 0.500
0.426 0.426 0.426
0.574 0.574 0.574
0.062 0.666 0.666
0.230 0.230 0.637
0.230 0.637 0.230
0.334 0.334 0.938
0.334 0.938 0.334
0.363 0.770 0.770
0.637 0.230 0.230
0.666 0.062 0.666
0.666 0.666 0.062
0.770 0.363 0.770
0.770 0.770 0.363
0.938 0.334 0.334
```

Values from the calculation:
Its crystal system is trigonal. Its uncorrected formation energy is -0.06 eV/atom.


6.
PuCuNiSn after structural relaxation. Source: the Alexandria database, functional PBE.

Cell and atoms, written as POSCAR:
```
PuCuNiSn
1.0
0.000 3.303 3.303
3.303 0.000 3.303
3.303 3.303 0.000
Pu Cu Ni Sn
1 1 1 1
direct
0.000 0.000 0.000
0.750 0.750 0.750
0.250 0.250 0.250
0.500 0.500 0.500
```

Values from the calculation:
Its crystal system is cubic. As for the total energy: -28.9 eV for the cell shown.


7.
PuThCuNi after structural relaxation. Source: the Alexandria database, functional PBE.

Cell and atoms, written as POSCAR:
```
PuThCuNi
1.0
0.000 3.473 3.473
3.473 0.000 3.473
3.473 3.473 0.000
Pu Th Cu Ni
1 1 1 1
direct
0.000 0.000 0.000
0.500 0.500 0.500
0.750 0.750 0.750
0.250 0.250 0.250
```

Values from the calculation:
Its crystal system is cubic. As for the total energy: -31.9 eV for the cell shown.


8.
TmPuCuNi after structural relaxation. Source: the Alexandria database, functional PBE.

Cell and atoms, written as POSCAR:
```
TmPuCuNi
1.0
0.000 3.397 3.397
3.397 0.000 3.397
3.397 3.397 0.000
Tm Pu Cu Ni
1 1 1 1
direct
0.000 0.000 0.000
0.500 0.500 0.500
0.250 0.250 0.250
0.750 0.750 0.750
```

Values from the calculation:
Its crystal system is cubic. As for the total energy: -29.2 eV for the cell shown.


Calculated calculated density (Mg/m³), listed in the same order as above: 7.0 11.2 9.3 9.5 10.1 11.2 11.9 11.3